{"formula": "NaTl3Cl", "functional": "GGA-PBE", "state": "optimized geometry", "lattice": [[5.919, 0.000, 0.000], [0.000, 5.919, 0.000], [0.000, 0.000, 5.919]], "species": ["Na", "Tl", "Tl", "Tl", "Cl"], "fractional_positions": [[0.000, 0.000, 0.000], [0.000, 0.500, 0.500], [0.500, 0.000, 0.500], [0.500, 0.500, 0.000], [0.500, 0.500, 0.500]], "magnetic_moment_mub_per_fu": 0.00, "formation_energy_uncorrected_ev_per_atom": -0.17, "density_g_cm3": 5.4, "de_polymorph_ev_per_atom": 0.000, "crystal_system": "cubic"}

{"formula": "Cs4Nd3ScS8", "functional": "GGA-PBE", "state": "optimized geometry", "lattice": [[4.168, 2.406, 8.078], [-4.168, 2.406, 8.078], [0.000, -4.813, 8.078]], "species": ["Cs", "Cs", "Cs", "Cs", "Nd", "Nd", "Nd", "Sc", "S", "S", "S", "S", "S", "S", "S", "S"], "fractional_positions": [[0.000, 0.000, 0.000], [0.000, 0.500, 0.500], [0.500, 0.000, 0.500], [0.500, 0.500, 0.000], [0.000, 0.000, 0.500], [0.000, 0.500, 0.000], [0.500, 0.000, 0.000], [0.500, 0.500, 0.500], [0.230, 0.230, 0.230], [0.245, 0.718, 0.718], [0.282, 0.282, 0.755], [0.282, 0.755, 0.282], [0.718, 0.245, 0.718], [0.718, 0.718, 0.245], [0.755, 0.282, 0.282], [0.770, 0.770, 0.770]], "magnetic_moment_mub_per_fu": 0.00, "formation_energy_uncorrected_ev_per_atom": -1.76, "density_g_cm3": 4.3, "crystal_system": "trigonal"}

{"formula": "CrInGa3", "functional": "GGA-PBE", "state": "optimized geometry", "lattice": [[4.826, 0.000, 0.000], [0.000, 4.826, 0.000], [0.000, 0.000, 4.826]], "species": ["Cr", "In", "Ga", "Ga", "Ga"], "fractional_positions": [[0.000, 0.000, 0.000], [0.500, 0.500, 0.500], [0.000, 0.000, 0.500], [0.000, 0.500, 0.000], [0.500, 0.000, 0.000]], "magnetic_moment_mub_per_fu": 1.74, "density_g_cm3": 5.6, "delta_e_f_ev_per_atom": 0.278, "de_polymorph_ev_per_atom": 0.000, "crystal_system": "cubic"}

{"formula": "PmAlPd6", "functional": "GGA-PBE", "state": "optimized geometry", "lattice": [[2.775, 1.602, 6.186], [-2.775, 1.602, 6.186], [0.000, -3.205, 6.186]], "species": ["Pm", "Al", "Pd", "Pd", "Pd", "Pd", "Pd", "Pd"], "fractional_positions": [[0.000, 0.000, 0.000], [0.500, 0.500, 0.500], [0.062, 0.578, 0.578], [0.422, 0.422, 0.938], [0.422, 0.938, 0.422], [0.578, 0.062, 0.578], [0.578, 0.578, 0.062], [0.938, 0.422, 0.422]], "magnetic_moment_mub_per_fu": 0.00, "density_g_cm3": 8.2, "delta_e_f_ev_per_atom": -0.316, "de_polymorph_ev_per_atom": 0.372, "crystal_system": "trigonal"}

{"formula": "BC3", "functional": "GGA-PBE", "state": "optimized geometry", "lattice": [[2.569, 0.000, 0.000], [-1.284, 2.225, 0.000], [0.000, 0.000, 12.984]], "species": ["B", "B", "B", "C", "C", "C", "C", "C", "C", "C", "C", "C"], "fractional_positions": [[0.000, 0.000, 0.000], [0.000, 0.000, 0.391], [0.333, 0.667, 0.172], [0.000, 0.000, 0.516], [0.000, 0.000, 0.873], [0.333, 0.667, 0.051], [0.333, 0.667, 0.554], [0.333, 0.667, 0.676], [0.667, 0.333, 0.228], [0.667, 0.333, 0.338], [0.667, 0.333, 0.714], [0.667, 0.333, 0.837]], "magnetic_moment_mub_per_fu": 0.00, "density_g_cm3": 3.1, "delta_e_f_ev_per_atom": 0.281, "de_polymorph_ev_per_atom": 0.040, "crystal_system": "trigonal"}

{"formula": "Ca2Ho2Ir3", "functional": "GGA-PBE", "state": "optimized geometry", "lattice": [[4.145, -2.394, 0.000], [4.145, 2.394, 0.000], [-2.772, 0.000, 8.046]], "species": ["Ca", "Ca", "Ho", "Ho", "Ir", "Ir", "Ir"], "fractional_positions": [[0.127, 0.127, 0.380], [0.873, 0.873, 0.620], [0.376, 0.376, 0.128], [0.624, 0.624, 0.872], [0.000, 0.000, 0.000], [0.257, 0.257, 0.772], [0.743, 0.743, 0.228]], "magnetic_moment_mub_per_fu": 0.00, "density_g_cm3": 10.3, "delta_e_f_ev_per_atom": -0.577, "crystal_system": "monoclinic"}

{"formula": "Ba3NaSn", "functional": "GGA-PBE", "state": "optimized geometry", "lattice": [[9.119, 0.000, 0.000], [0.000, 9.028, 0.000], [-2.476, 0.000, 11.604]], "species": ["Ba", "Ba", "Ba", "Ba", "Ba", "Ba", "Ba", "Ba", "Ba", "Ba", "Ba", "Ba", "Na", "Na", "Na", "Na", "Sn", "Sn", "Sn", "Sn"], "fractional_positions": [[0.133, 0.134, 0.413], [0.133, 0.366, 0.913], [0.214, 0.543, 0.627], [0.214, 0.957, 0.127], [0.289, 0.011, 0.755], [0.289, 0.489, 0.255], [0.711, 0.511, 0.745], [0.711, 0.989, 0.245], [0.786, 0.043, 0.873], [0.786, 0.457, 0.373], [0.867, 0.634, 0.087], [0.867, 0.866, 0.587], [0.440, 0.692, 0.969], [0.440, 0.808, 0.469], [0.560, 0.192, 0.531], [0.560, 0.308, 0.031], [0.057, 0.746, 0.866], [0.057, 0.754, 0.366], [0.943, 0.246, 0.634], [0.943, 0.254, 0.134]], "magnetic_moment_mub_per_fu": 0.00, "density_g_cm3": 3.8, "delta_e_f_ev_per_atom": -0.316, "de_polymorph_ev_per_atom": 0.000, "crystal_system": "monoclinic"}

{"formula": "AcPr6Tl", "functional": "GGA-PBE", "state": "optimized geometry", "lattice": [[5.135, 0.000, 0.000], [0.000, 5.135, 0.000], [0.000, 0.000, 10.600]], "species": ["Ac", "Pr", "Pr", "Pr", "Pr", "Pr", "Pr", "Tl"], "fractional_positions": [[0.000, 0.000, 0.000], [0.000, 0.500, 0.262], [0.000, 0.500, 0.738], [0.500, 0.000, 0.262], [0.500, 0.000, 0.738], [0.500, 0.500, 0.000], [0.500, 0.500, 0.500], [0.000, 0.000, 0.500]], "magnetic_moment_mub_per_fu": 0.00, "density_g_cm3": 7.6, "delta_e_f_ev_per_atom": -0.073, "crystal_system": "tetragonal"}

In the order shown, the computed volume values come out to 41.5 30.4 22.5 20.6 6.2 22.8 47.8 34.9 Å³/atom.